Record 1
Tb5YCd4 | PBE | optimized geometry

## Properties
The value obtained for the energy of formation from the pure elements is -0.240 eV/atom.

Unit cell a=3.706 b=3.706 c=20.279 alpha=90.00 beta=90.00 gamma=90.00
Site moments in Bohr magnetons follow the coordinates.
Fractional positions:
1 Tb 0.500 0.500 0.879  0.01
2 Tb 0.500 0.500 0.121  0.01
3 Tb 0.500 0.500 0.311  0.07
4 Tb 0.500 0.500 0.500  0.08
5 Tb 0.500 0.500 0.689  0.07
6 Y 0.000 0.000 0.000  0.01
7 Cd 0.000 0.000 0.405  0.01
8 Cd 0.000 0.000 0.216  0.00
9 Cd 0.000 0.000 0.784  0.00
10 Cd 0.000 0.000 0.595  0.01

=====

Record 2
Cs2ZrTlI6 | PBE | optimized geometry

## Properties
Its formation energy without anion corrections is -1.08 eV per atom.

Unit cell a=8.512 b=8.512 c=17.373 alpha=75.82 beta=75.82 gamma=60.00
Site moments in Bohr magnetons follow the coordinates.
Fractional positions:
1 I 0.629 0.629 0.603  -0.01
2 I 0.805 0.805 0.103  0.00
3 I 0.629 0.139 0.603  -0.01
4 I 0.139 0.629 0.603  -0.01
5 I 0.288 0.805 0.103  0.00
6 I 0.861 0.371 0.397  -0.01
7 I 0.195 0.195 0.897  0.00
8 I 0.371 0.371 0.397  -0.01
9 I 0.712 0.195 0.897  0.00
10 I 0.805 0.288 0.103  0.00
11 I 0.371 0.861 0.397  -0.01
12 I 0.195 0.712 0.897  0.00
13 Cs 0.137 0.137 0.588  0.00
14 Cs 0.694 0.694 0.919  0.00
15 Cs 0.306 0.306 0.081  0.00
16 Cs 0.863 0.863 0.412  0.00
17 Zr 0.500 0.500 0.500  0.74
18 Zr 0.000 0.000 0.000  0.62
19 Tl 0.417 0.417 0.750  0.00
20 Tl 0.583 0.583 0.250  0.00

=====

Record 3
Tb3Dy2Cd6 | PBE | optimized geometry

## Properties
The value obtained for the energy of formation from the pure elements is 0.016 eV/atom.

Unit cell a=4.099 b=4.099 c=19.106 alpha=96.16 beta=96.16 gamma=90.00
Fractional positions:
1 Dy 0.366 0.366 0.732
2 Dy 0.634 0.634 0.268
3 Cd 0.566 0.066 0.133
4 Cd 0.274 0.274 0.547
5 Cd 0.434 0.934 0.867
6 Cd 0.066 0.566 0.133
7 Cd 0.934 0.434 0.867
8 Cd 0.726 0.726 0.453
9 Tb 0.188 0.188 0.376
10 Tb 0.000 0.000 0.000
11 Tb 0.812 0.812 0.624

=====

Record 4
SmSi2Rh2 | PBE | optimized geometry

## Properties
Its formation energy without anion corrections is -1.11 eV per atom.

Unit cell a=5.823 b=5.823 c=5.823 alpha=138.90 beta=138.90 gamma=59.53
Fractional positions:
1 Rh 0.250 0.750 0.500
2 Rh 0.750 0.250 0.500
3 Si 0.623 0.623 0.000
4 Si 0.377 0.377 0.000
5 Sm 0.000 0.000 0.000

=====

Record 5
Li7Zn2Au2 | PBE | optimized geometry

## Properties
The value obtained for the energy of formation from the pure elements is -0.136 eV/atom.

Unit cell a=5.464 b=7.252 c=5.464 alpha=90.02 beta=98.55 gamma=89.98
Fractional positions:
1 Li 0.000 0.723 0.500
2 Li 0.500 0.277 0.000
3 Li 0.500 0.674 0.500
4 Li 0.000 0.000 0.000
5 Li 0.500 0.326 0.500
6 Li 0.000 0.277 0.500
7 Li 0.500 0.723 0.000
8 Zn 0.347 0.000 0.653
9 Zn 0.653 0.000 0.347
10 Au 0.811 0.500 0.811
11 Au 0.189 0.500 0.189

=====

Record 6
YSiGe2As | PBE | optimized geometry

## Properties
Its formation energy without anion corrections is 0.96 eV per atom.

Unit cell a=5.396 b=5.320 c=5.396 alpha=90.00 beta=90.00 gamma=90.00
Fractional positions:
1 Ge 0.000 0.000 0.500
2 Ge 0.500 0.000 0.000
3 As 0.000 0.500 0.000
4 Si 0.500 0.500 0.500
5 Y 0.000 0.000 0.000

=====

Record 7
Nd8Te4P3C | PBE | optimized geometry

## Properties
Its formation energy without anion corrections is -1.36 eV per atom.

Unit cell a=8.420 b=8.757 c=8.421 alpha=118.74 beta=120.00 gamma=90.00
Fractional positions:
1 Nd 0.754 0.706 0.980
2 Nd 0.774 0.294 0.020
3 Nd 0.226 0.706 0.451
4 Nd 0.738 0.715 0.477
5 Nd 0.774 0.294 0.549
6 Nd 0.246 0.294 0.020
7 Nd 0.226 0.706 0.980
8 Nd 0.262 0.285 0.523
9 P 0.000 0.500 0.500
10 P 0.500 0.500 0.500
11 P 0.500 0.500 0.000
12 Te 0.500 0.000 0.000
13 Te 0.000 0.000 0.000
14 Te 0.000 0.000 0.500
15 Te 0.500 0.000 0.500
16 C 0.000 0.500 0.000

=====

Record 8
ErSn2Cl8 | PBE | optimized geometry

## Properties
Its formation energy without anion corrections is -1.35 eV per atom.

Unit cell a=7.156 b=7.533 c=7.533 alpha=71.92 beta=73.40 gamma=73.40
Fractional positions:
1 Cl 0.237 0.042 0.656
2 Cl 0.763 0.344 0.958
3 Cl 0.163 0.581 0.581
4 Cl 0.237 0.656 0.042
5 Cl 0.752 0.884 0.884
6 Cl 0.248 0.116 0.116
7 Cl 0.763 0.958 0.344
8 Cl 0.837 0.419 0.419
9 Sn 0.214 0.342 0.342
10 Sn 0.786 0.658 0.658
11 Er 0.000 0.000 0.000

=====

| no. | total magnetic moment (μB/atom) | total DFT energy (no corrections) (eV for the cell shown) |
| --- | --- | --- |
| 1 | 0.04 | -35.680 |
| 2 | 0.10 | -65.459 |
| 3 | 0.00 | -28.413 |
| 4 | 0.00 | -35.806 |
| 5 | 0.00 | -24.000 |
| 6 | 0.00 | -20.989 |
| 7 | 0.00 | -97.994 |
| 8 | 0.00 | -42.168 |